1.
First-principles (PBE) data for a geometry-optimized SrMn2Rh structure, as listed in the Alexandria database.

Output
calculated density = 5.59 g/cm3
D(E_F) = 2.21 states/eV/f.u.
magnetization = 2.216 μB per atom

The structure in POSCAR format:
```
SrMn2Rh
1.0
0.755 -3.645 5.524
5.410 -2.728 2.768
-3.177 5.326 -2.431
Mn Rh Sr
2 1 1
Direct
0.023 0.023 0.000
0.662 0.162 0.500
0.515 0.515 0.000
0.300 0.800 0.500
```

***

2.
First-principles (PBE) data for a geometry-optimized SrMn2Rh structure, as listed in the Alexandria database.

Output
calculated density = 6.23 g/cm3
D(E_F) = 4.81 states/eV/f.u.
magnetization = 0.251 μB per atom

The structure in POSCAR format:
```
SrMn2Rh
1.0
-0.172 4.315 1.389
-1.250 0.846 -2.784
-5.598 -0.537 0.976
Mn Rh Sr
2 1 1
Direct
0.000 0.025 0.133
0.000 0.475 0.367
0.500 0.250 0.250
0.500 0.750 0.750
```

***

3.
First-principles (PBE) data for a geometry-optimized Sr2MnRh structure, as listed in the Alexandria database.

Output
calculated density = 4.85 g/cm3
energy above the most stable polymorph in this dataset = 104 meV per atom
D(E_F) = 3.47 states/eV/f.u.
magnetization = 1.034 μB per atom

The structure in POSCAR format:
```
Sr2MnRh
1.0
-2.228 0.029 2.798
0.887 -3.395 0.742
6.602 2.867 5.226
Mn Rh Sr
1 1 2
Direct
0.000 0.000 0.582
0.500 0.500 0.672
0.000 0.000 0.920
0.500 0.500 0.326
```

***

4.
First-principles (PBE) data for a geometry-optimized SrMnRh structure, as listed in the Alexandria database.

Output
calculated density = 6.16 g/cm3
energy above the most stable polymorph in this dataset = 207 meV per atom
D(E_F) = 2.12 states/eV/f.u.
magnetization = 1.319 μB per atom

The structure in POSCAR format:
```
SrMnRh
1.0
-4.916 1.746 -3.044
-1.233 0.241 -5.908
2.090 -3.231 4.656
Mn Rh Sr
1 1 1
Direct
0.951 0.951 0.000
0.378 0.378 0.000
0.671 0.671 0.000
```

***

5.
First-principles (PBE) data for a geometry-optimized SrMn2Rh structure, as listed in the Alexandria database.

Output
calculated density = 5.85 g/cm3
D(E_F) = 3.78 states/eV/f.u.
magnetization = 2.060 μB per atom

The structure in POSCAR format:
```
SrMn2Rh
1.0
4.299 0.000 0.000
0.000 3.245 0.019
0.000 1.568 6.126
Mn Rh Sr
2 1 1
Direct
0.000 0.006 0.111
0.500 0.448 0.228
0.000 0.341 0.445
0.500 0.705 0.716
```

***

6.
First-principles (PBE) data for a geometry-optimized SrMn2Rh2 structure, as listed in the Alexandria database.

Output
calculated density = 6.89 g/cm3
energy above the most stable polymorph in this dataset = 0 meV per atom
D(E_F) = 4.43 states/eV/f.u.
magnetization = 1.575 μB per atom

The structure in POSCAR format:
```
SrMn2Rh2
1.0
4.240 0.000 0.000
0.000 4.240 0.000
2.120 2.120 5.409
Sr Mn Rh
1 2 2
Direct
0.000 0.000 0.000
0.750 0.250 0.500
0.250 0.750 0.500
0.381 0.381 0.238
0.619 0.619 0.762
```

***

7.
First-principles (PBE) data for a geometry-optimized SrMn2Rh structure, as listed in the Alexandria database.

Output
calculated density = 7.85 g/cm3
D(E_F) = 18.35 states/eV/f.u.
magnetization = 0.000 μB per atom

The structure in POSCAR format:
```
SrMn2Rh
1.0
0.000 3.168 3.168
3.168 0.000 3.168
3.168 3.168 0.000
Sr Mn Rh
1 2 1
Direct
0.000 0.000 0.000
0.250 0.250 0.250
0.750 0.750 0.750
0.500 0.500 0.500
```

***

8.
First-principles (PBE) data for a geometry-optimized Sr2MnRh structure, as listed in the Alexandria database.

Output
calculated density = 5.21 g/cm3
energy above the most stable polymorph in this dataset = 282 meV per atom
D(E_F) = 3.92 states/eV/f.u.
magnetization = 1.081 μB per atom

The structure in POSCAR format:
```
Sr2MnRh
1.0
0.000 3.759 3.759
3.759 0.000 3.759
3.759 3.759 0.000
Sr Mn Rh
2 1 1
Direct
0.250 0.250 0.250
0.750 0.750 0.750
0.000 0.000 0.000
0.500 0.500 0.500
```

***

9.
First-principles (PBE) data for a geometry-optimized SrMnRh structure, as listed in the Alexandria database.

Output
calculated density = 6.11 g/cm3
energy above the most stable polymorph in this dataset = 323 meV per atom
D(E_F) = 2.26 states/eV/f.u.
magnetization = 0.000 μB per atom

The structure in POSCAR format:
```
SrMnRh
1.0
-3.638 -0.030 -0.302
-0.284 -3.068 3.380
1.439 7.473 3.790
Sr Mn Rh
2 2 2
Direct
0.863 0.988 0.577
0.195 0.309 0.228
0.036 0.746 0.906
0.456 0.558 0.781
0.636 0.727 0.114
0.530 0.139 0.894
```

***

10.
First-principles (PBE) data for a geometry-optimized SrMnRh structure, as listed in the Alexandria database.

Output
calculated density = 6.00 g/cm3
energy above the most stable polymorph in this dataset = 357 meV per atom
D(E_F) = 3.33 states/eV/f.u.
magnetization = 0.001 μB per atom

The structure in POSCAR format:
```
SrMnRh
1.0
-0.202 3.850 -0.980
-3.128 -1.791 1.684
3.418 2.462 8.966
Sr Mn Rh
2 2 2
Direct
0.000 0.000 0.000
0.000 0.000 0.500
0.333 0.667 0.250
0.667 0.333 0.750
0.333 0.667 0.750
0.667 0.333 0.250
```

***

In eV/atom, the ΔH_f (0 K) values for the records above are, in order, 0.3712; 0.5494; 0.1185; 0.1034; 0.3442; -0.0475; 1.1006; 0.2962; 0.2192; 0.2532.